Record 1
Entry from the Alexandria database: a relaxed ZnCrAu crystal (PBE-GGA).

Lattice parameters (Å, degrees): 6.1942 6.1942 6.1942 154.29 154.29 36.68
Fractional coordinates of all 3 atoms:
Zn  0.0000  0.0000  0.0000
Cr  0.6523  0.6523  0.0000
Au  0.3218  0.3218  0.0000

Values from the calculation:
The total energy comes out at -4.5157 eV/atom. As for the calculated formation energy: 20 kJ per mole of atoms. As for the total magnetic moment: 1.44 μB/cell. The space-group type is I4mm, No. 107.

Record 2
Entry from the Alexandria database: a relaxed Zn2CrAu crystal (PBE-GGA).

Lattice parameters (Å, degrees): 2.9073 4.1566 5.3761 90.00 105.33 90.00
Fractional coordinates of all 4 atoms:
Zn  0.0000  0.0000  0.0000
Zn  0.1339  0.5000  0.2717
Cr  0.4012  0.5000  0.7995
Au  0.7429  0.0000  0.4921

Values from the calculation:
The total energy comes out at -3.7959 eV/atom. As for the calculated formation energy: 6 kJ per mole of atoms. As for the total magnetic moment: 3.58 μB/cell. The space-group type is Pm, No. 6.

Record 3
Entry from the Alexandria database: a relaxed ZnCrAu crystal (PBE-GGA).

Lattice parameters (Å, degrees): 4.9262 4.9262 4.9262 140.49 140.49 57.11
Fractional coordinates of all 3 atoms:
Zn  0.0000  0.0000  0.0000
Cr  0.3384  0.3384  0.0000
Au  0.6674  0.6674  0.0000

Values from the calculation:
The total energy comes out at -4.6455 eV/atom. As for the calculated formation energy: 8 kJ per mole of atoms. As for the total magnetic moment: 3.70 μB/cell. The space-group type is I4mm, No. 107.

Record 4
Entry from the Alexandria database: a relaxed Zn3CrAu4 crystal (PBE-GGA).

Lattice parameters (Å, degrees): 7.8533 7.8533 7.8533 33.45 33.45 33.45
Fractional coordinates of all 8 atoms:
Zn  0.0000  0.0000  0.0000
Zn  0.2456  0.2456  0.2456
Zn  0.7544  0.7544  0.7544
Cr  0.5000  0.5000  0.5000
Au  0.1220  0.1220  0.1220
Au  0.3722  0.3722  0.3722
Au  0.6278  0.6278  0.6278
Au  0.8780  0.8780  0.8780

Values from the calculation:
The total energy comes out at -3.4422 eV/atom. As for the calculated formation energy: -12 kJ per mole of atoms. As for the total magnetic moment: 4.01 μB/cell. The space-group type is R-3m, No. 166.

Record 5
Entry from the Alexandria database: a relaxed ZnCrAu4 crystal (PBE-GGA).

Lattice parameters (Å, degrees): 5.4724 5.4724 5.4724 60.00 60.00 60.00
Fractional coordinates of all 6 atoms:
Zn  0.0000  0.0000  0.0000
Cr  0.2500  0.2500  0.2500
Au  0.1250  0.6250  0.6250
Au  0.6250  0.1250  0.6250
Au  0.6250  0.6250  0.1250
Au  0.6250  0.6250  0.6250

Values from the calculation:
The total energy comes out at -3.7818 eV/atom. As for the calculated formation energy: 21 kJ per mole of atoms. As for the total magnetic moment: 4.68 μB/cell. The space-group type is F-43m, No. 216.

Record 6
Entry from the Alexandria database: a relaxed ZnCrAu3 crystal (PBE-GGA).

Lattice parameters (Å, degrees): 4.7983 4.7983 4.7983 90.00 90.00 90.00
Fractional coordinates of all 5 atoms:
Zn  0.0000  0.0000  0.0000
Cr  0.5000  0.5000  0.5000
Au  0.0000  0.0000  0.5000
Au  0.0000  0.5000  0.0000
Au  0.5000  0.0000  0.0000

Values from the calculation:
For the energy above the lowest structure with this stoichiometry, the calculation gives 0 meV/atom. The total energy comes out at -3.5588 eV/atom. As for the calculated formation energy: 57 kJ per mole of atoms. As for the total magnetic moment: 4.56 μB/cell. The space-group type is Pm-3m, No. 221.

Record 7
Entry from the Alexandria database: a relaxed Zn2CrAu crystal (PBE-GGA).

Lattice parameters (Å, degrees): 8.9260 8.9260 8.9260 18.73 18.73 18.73
Fractional coordinates of all 4 atoms:
Zn  0.0000  0.0000  0.0000
Zn  0.2496  0.2496  0.2496
Cr  0.7449  0.7449  0.7449
Au  0.4976  0.4976  0.4976

Values from the calculation:
The total energy comes out at -3.6372 eV/atom. As for the calculated formation energy: 22 kJ per mole of atoms. As for the total magnetic moment: 3.29 μB/cell. The space-group type is R3m, No. 160.

Record 8
Entry from the Alexandria database: a relaxed Zn2CrAu crystal (PBE-GGA).

Lattice parameters (Å, degrees): 3.9982 3.9982 3.8725 90.07 90.07 90.12
Fractional coordinates of all 4 atoms:
Zn  0.0000  0.5000  0.0000
Zn  0.5000  0.0000  0.0000
Cr  0.0000  0.0000  0.5000
Au  0.5000  0.5000  0.5000

Values from the calculation:
The total energy comes out at -3.8635 eV/atom. As for the calculated formation energy: 0 kJ per mole of atoms. As for the total magnetic moment: 3.51 μB/cell. The space-group type is C2/m, No. 12.